1.
{
  "formula": "Th2OsPd",
  "functional": "GGA-PBE",
  "state": "relaxed",
  "dft_energy_ev_per_atom": -8.24,
  "ef_ev_per_atom": -0.422,
  "sg": "P4/mmm (123)",
  "magnetic_moment_mub_per_fu": 0.00,
  "lattice": [[-2.500, 0.889, -2.229], [2.455, -2.548, -3.769], [-2.606, -4.298, 1.208]],
  "species": ["Os", "Pd", "Th", "Th"],
  "frac_coords": [[0.500, 0.000, 0.000], [0.500, 0.500, 0.500], [0.000, 0.000, 0.500], [0.000, 0.500, 0.000]]
}

2.
{
  "formula": "Y5HoAl4",
  "functional": "GGA-PBE",
  "state": "relaxed",
  "dft_energy_ev_per_atom": -5.51,
  "ef_ev_per_atom": -0.327,
  "sg": "P4/mmm (123)",
  "magnetic_moment_mub_per_fu": 0.00,
  "lattice": [[3.580, 0.000, 0.000], [0.000, 3.580, 0.000], [0.000, 0.000, 19.708]],
  "species": ["Y", "Y", "Y", "Y", "Y", "Ho", "Al", "Al", "Al", "Al"],
  "frac_coords": [[0.500, 0.500, 0.127], [0.500, 0.500, 0.314], [0.500, 0.500, 0.500], [0.500, 0.500, 0.686], [0.500, 0.500, 0.873], [0.000, 0.000, 0.000], [0.000, 0.000, 0.220], [0.000, 0.000, 0.407], [0.000, 0.000, 0.593], [0.000, 0.000, 0.780]]
}

3.
{
  "formula": "SiBrO2",
  "functional": "GGA-PBE",
  "state": "relaxed",
  "formation_energy_uncorrected_kj_per_mol_atoms": -159,
  "dft_energy_ev_per_atom": -5.90,
  "relative_energy_kcal_per_mol_atoms": 1.077,
  "sg": "R-3m (166)",
  "magnetic_moment_mub_per_fu": 0.00,
  "lattice": [[1.592, 0.000, 8.474], [-0.796, 1.379, 8.474], [-0.796, -1.379, 8.474]],
  "species": ["Si", "O", "O", "Br"],
  "frac_coords": [[0.500, 0.500, 0.500], [0.868, 0.868, 0.868], [0.132, 0.132, 0.132], [0.000, 0.000, 0.000]]
}

4.
{
  "formula": "La2Cr3",
  "functional": "GGA-PBE",
  "state": "relaxed",
  "dft_energy_ev_per_atom": -7.32,
  "ef_ev_per_atom": 0.420,
  "sg": "P-3m1 (164)",
  "magnetic_moment_mub_per_fu": 2.82,
  "lattice": [[-3.659, 1.200, -1.884], [0.034, -1.013, 4.166], [1.309, 6.424, 1.551]],
  "species": ["La", "La", "Cr", "Cr", "Cr"],
  "frac_coords": [[0.667, 0.333, 0.343], [0.333, 0.667, 0.657], [0.000, 0.000, 0.000], [0.667, 0.333, 0.900], [0.333, 0.667, 0.100]]
}

5.
{
  "formula": "Ni2AsBr",
  "functional": "GGA-PBE",
  "state": "relaxed",
  "formation_energy_uncorrected_kj_per_mol_atoms": 6,
  "dft_energy_ev_per_atom": -4.41,
  "relative_energy_kcal_per_mol_atoms": 3.738,
  "sg": "Imm2 (44)",
  "magnetic_moment_mub_per_fu": 0.00,
  "lattice": [[6.560, 0.011, 0.017], [4.837, 4.432, -0.017], [-5.717, -2.174, 2.372]],
  "species": ["As", "Br", "Ni", "Ni"],
  "frac_coords": [[0.537, 0.537, 0.000], [0.288, 0.788, 0.500], [0.006, 0.006, 0.000], [0.669, 0.169, 0.500]]
}

6.
{
  "formula": "AcThBiSb",
  "functional": "GGA-PBE",
  "state": "relaxed",
  "formation_energy_uncorrected_kj_per_mol_atoms": -53,
  "dft_energy_ev_per_atom": -5.43,
  "relative_energy_kcal_per_mol_atoms": 3.545,
  "sg": "R-3m (166)",
  "magnetic_moment_mub_per_fu": 0.54,
  "lattice": [[5.442, 0.000, 0.000], [2.721, 4.713, 0.000], [2.721, 1.571, 12.136]],
  "species": ["Ac", "Ac", "Th", "Th", "Bi", "Bi", "Sb", "Sb"],
  "frac_coords": [[0.797, 0.797, 0.610], [0.203, 0.203, 0.390], [0.619, 0.619, 0.144], [0.381, 0.381, 0.856], [0.100, 0.100, 0.701], [0.900, 0.900, 0.299], [0.704, 0.704, 0.889], [0.296, 0.296, 0.111]]
}

7.
{
  "formula": "YNi2GeOs",
  "functional": "GGA-PBE",
  "state": "relaxed",
  "dft_energy_ev_per_atom": -6.49,
  "ef_ev_per_atom": 0.287,
  "sg": "P4/mmm (123)",
  "magnetic_moment_mub_per_fu": 0.00,
  "lattice": [[4.625, 0.000, 0.000], [0.000, 4.603, 0.000], [0.000, 0.000, 4.625]],
  "species": ["Y", "Ni", "Ni", "Ge", "Os"],
  "frac_coords": [[0.500, 0.500, 0.500], [0.000, 0.000, 0.500], [0.500, 0.000, 0.000], [0.000, 0.500, 0.000], [0.000, 0.000, 0.000]]
}

8.
{
  "formula": "SnPd3O",
  "functional": "GGA-PBE",
  "state": "relaxed",
  "formation_energy_uncorrected_kj_per_mol_atoms": -11,
  "dft_energy_ev_per_atom": -5.02,
  "relative_energy_kcal_per_mol_atoms": 0.000,
  "sg": "Pm-3m (221)",
  "magnetic_moment_mub_per_fu": 0.00,
  "lattice": [[-3.343, 1.773, -2.093], [-1.990, -3.839, -0.074], [-1.888, 0.906, 3.784]],
  "species": ["O", "Sn", "Pd", "Pd", "Pd"],
  "frac_coords": [[0.000, 0.000, 0.000], [0.500, 0.500, 0.500], [0.000, 0.500, 0.000], [0.000, 0.000, 0.500], [0.500, 0.000, 0.000]]
}

9.
{
  "formula": "Ti4CdC2",
  "functional": "GGA-PBE",
  "state": "relaxed",
  "dft_energy_ev_per_atom": -7.73,
  "ef_ev_per_atom": -0.455,
  "sg": "Cmcm (63)",
  "magnetic_moment_mub_per_fu": 0.00,
  "lattice": [[-0.167, -1.861, -2.576], [5.053, -0.941, 2.318], [-4.438, -8.320, 6.298]],
  "species": ["C", "C", "C", "C", "Cd", "Cd", "Ti", "Ti", "Ti", "Ti", "Ti", "Ti", "Ti", "Ti"],
  "frac_coords": [[0.134, 0.267, 0.442], [0.866, 0.733, 0.942], [0.134, 0.267, 0.058], [0.866, 0.733, 0.558], [0.610, 0.219, 0.750], [0.390, 0.781, 0.250], [0.753, 0.505, 0.100], [0.753, 0.505, 0.400], [0.247, 0.495, 0.900], [0.247, 0.495, 0.600], [0.906, 0.813, 0.750], [0.094, 0.187, 0.250], [0.500, 0.000, 0.000], [0.500, 0.000, 0.500]]
}

10.
{
  "formula": "Na2TlGaSe4",
  "functional": "GGA-PBE",
  "state": "relaxed",
  "formation_energy_uncorrected_kj_per_mol_atoms": -66,
  "dft_energy_ev_per_atom": -3.43,
  "sg": "I-42m (121)",
  "magnetic_moment_mub_per_fu": 0.00,
  "lattice": [[6.795, 0.000, 0.000], [3.397, 5.473, 0.000], [3.397, 0.000, 5.473]],
  "species": ["Na", "Na", "Tl", "Ga", "Se", "Se", "Se", "Se"],
  "frac_coords": [[0.000, 0.500, 0.500], [0.500, 0.500, 0.500], [0.000, 0.000, 0.000], [0.500, 0.000, 0.000], [0.100, 0.357, 0.000], [0.900, 0.000, 0.643], [0.543, 0.000, 0.357], [0.457, 0.643, 0.000]]
}

11.
{
  "formula": "La8TlBi5",
  "functional": "GGA-PBE",
  "state": "relaxed",
  "dft_energy_ev_per_atom": -5.20,
  "ef_ev_per_atom": -0.831,
  "sg": "I-4 (82)",
  "magnetic_moment_mub_per_fu": 0.01,
  "lattice": [[1.172, 1.904, -8.260], [-2.227, -8.227, 0.765], [-6.206, 4.964, 3.174]],
  "species": ["La", "La", "La", "La", "La", "La", "La", "La", "Tl", "Bi", "Bi", "Bi", "Bi", "Bi"],
  "frac_coords": [[0.127, 0.751, 0.017], [0.983, 0.110, 0.734], [0.770, 0.249, 0.375], [0.625, 0.395, 0.874], [0.480, 0.605, 0.230], [0.624, 0.890, 0.873], [0.266, 0.249, 0.376], [0.126, 0.751, 0.520], [0.250, 0.500, 0.750], [0.998, 0.375, 0.126], [0.874, 0.873, 0.249], [0.751, 0.625, 0.623], [0.500, 0.000, 0.500], [0.377, 0.127, 0.002]]
}

12.
{
  "formula": "LaSmAgBr",
  "functional": "GGA-PBE",
  "state": "relaxed",
  "formation_energy_uncorrected_kj_per_mol_atoms": -50,
  "dft_energy_ev_per_atom": -4.07,
  "sg": "F-43m (216)",
  "magnetic_moment_mub_per_fu": 0.00,
  "lattice": [[-1.985, -3.406, -3.613], [3.307, -2.948, -2.995], [0.362, -5.273, 0.814]],
  "species": ["Br", "Ag", "Sm", "La"],
  "frac_coords": [[0.250, 0.250, 0.250], [0.750, 0.750, 0.750], [0.500, 0.500, 0.500], [0.000, 0.000, 0.000]]
}